# 1
Density functional theory data (PBE) for Pa2Co4Si3Mo after structural relaxation.

Results
Symmetry = P-4m2 (115)
Volume = 150.37 Å³/cell
Energy = -8.12 eV per atom
Formation energy (no corrections) = -0.67 eV per atom

Cell lengths 3.935, 3.935, 9.713 Å; angles 90.00, 90.00, 90.00 degrees
Fractional coordinates of all 10 atoms:
Pa: 0.000 0.500 0.239
Pa: 0.500 0.000 0.761
Co: 0.000 0.000 0.000
Co: 0.000 0.500 0.636
Co: 0.500 0.000 0.364
Co: 0.500 0.500 0.000
Si: 0.000 0.500 0.874
Si: 0.500 0.000 0.126
Si: 0.500 0.500 0.500
Mo: 0.000 0.000 0.500


# 2
Density functional theory data (PBE) for PaCoSnMo after structural relaxation.

Results
Energy relative to the elements = -13 meV per atom
Symmetry = F-43m (216)
Volume = 73.51 Å³/cell
Energy = -7.87 eV per atom

Cell lengths 4.702, 4.702, 4.702 Å; angles 60.00, 60.00, 60.00 degrees
Fractional coordinates of all 4 atoms:
Pa: 0.000 0.000 0.000
Co: 0.750 0.750 0.750
Sn: 0.500 0.500 0.500
Mo: 0.250 0.250 0.250


# 3
Density functional theory data (PBE) for PaTiCoMo after structural relaxation.

Results
Energy relative to the elements = -107 meV per atom
Symmetry = F-43m (216)
Volume = 67.99 Å³/cell
Energy = -8.94 eV per atom

Cell lengths 4.581, 4.581, 4.581 Å; angles 60.00, 60.00, 60.00 degrees
Fractional coordinates of all 4 atoms:
Pa: 0.000 0.000 0.000
Ti: 0.500 0.500 0.500
Co: 0.750 0.750 0.750
Mo: 0.250 0.250 0.250


# 4
Density functional theory data (PBE) for ZrPaCoMo after structural relaxation.

Results
Energy relative to the elements = -66 meV per atom
Symmetry = F-43m (216)
Volume = 74.40 Å³/cell
Energy = -9.06 eV per atom

Cell lengths 4.721, 4.721, 4.721 Å; angles 60.00, 60.00, 60.00 degrees
Fractional coordinates of all 4 atoms:
Zr: 0.000 0.000 0.000
Pa: 0.500 0.500 0.500
Co: 0.250 0.250 0.250
Mo: 0.750 0.750 0.750